# Cd2InCo | Alexandria | SCAN | PBEsol geometry
data_Cd2InCo
_symmetry_space_group_name_H-M 'I m m m'
_symmetry_Int_Tables_number 71
_symmetry_space_group_name_Hall '-I 2 2'
_cell_length_a 2.870
_cell_length_b 4.311
_cell_length_c 12.208
_cell_angle_alpha 90.00
_cell_angle_beta 90.00
_cell_angle_gamma 90.00
loop_
_atom_site_label
_atom_site_type_symbol
_atom_site_fract_x
_atom_site_fract_y
_atom_site_fract_z
_atom_site_occupancy
Cd1 Cd 0.000 0.000 0.185 1
In1 In 0.000 0.500 0.000 1
Co1 Co 0.000 0.500 0.500 1
# Calculated formation energy ... 0.135 eV/atom
# VASP energy ... -27.75 eV/atom



# CdInCo2 | Alexandria | SCAN | PBEsol geometry
data_CdInCo2
_symmetry_space_group_name_H-M 'F -4 3 m'
_symmetry_Int_Tables_number 216
_symmetry_space_group_name_Hall 'F -4 2 3'
_cell_length_a 6.214
_cell_length_b 6.214
_cell_length_c 6.214
_cell_angle_alpha 90.00
_cell_angle_beta 90.00
_cell_angle_gamma 90.00
loop_
_atom_site_label
_atom_site_type_symbol
_atom_site_fract_x
_atom_site_fract_y
_atom_site_fract_z
_atom_site_occupancy
Cd1 Cd 0.000 0.000 0.000 1
In1 In 0.250 0.250 0.250 1
Co1 Co 0.000 0.000 0.500 1
Co2 Co 0.250 0.250 0.750 1
# Calculated formation energy ... 0.323 eV/atom
# VASP energy ... -24.28 eV/atom



# CdInCo2 | Alexandria | SCAN | PBEsol geometry
data_CdInCo2
_symmetry_space_group_name_H-M 'I -4 m 2'
_symmetry_Int_Tables_number 119
_symmetry_space_group_name_Hall 'I -4 -2'
_cell_length_a 3.840
_cell_length_b 3.840
_cell_length_c 8.047
_cell_angle_alpha 90.00
_cell_angle_beta 90.00
_cell_angle_gamma 90.00
loop_
_atom_site_label
_atom_site_type_symbol
_atom_site_fract_x
_atom_site_fract_y
_atom_site_fract_z
_atom_site_occupancy
Cd1 Cd 0.000 0.000 0.000 1
In1 In 0.000 0.500 0.750 1
Co1 Co 0.000 0.000 0.500 1
Co2 Co 0.000 0.500 0.250 1
# Calculated formation energy ... 0.380 eV/atom
# VASP energy ... -24.22 eV/atom



# CdIn2Co | Alexandria | SCAN | PBEsol geometry
data_CdIn2Co
_symmetry_space_group_name_H-M 'I m m m'
_symmetry_Int_Tables_number 71
_symmetry_space_group_name_Hall '-I 2 2'
_cell_length_a 2.869
_cell_length_b 4.440
_cell_length_c 12.580
_cell_angle_alpha 90.00
_cell_angle_beta 90.00
_cell_angle_gamma 90.00
loop_
_atom_site_label
_atom_site_type_symbol
_atom_site_fract_x
_atom_site_fract_y
_atom_site_fract_z
_atom_site_occupancy
Cd1 Cd 0.000 0.000 0.000 1
In1 In 0.000 0.500 0.175 1
Co1 Co 0.000 0.000 0.500 1
# Calculated formation energy ... 0.200 eV/atom
# VASP energy ... -28.42 eV/atom



# Cd2InCo | Alexandria | SCAN | PBEsol geometry
data_Cd2InCo
_symmetry_space_group_name_H-M 'I -4 m 2'
_symmetry_Int_Tables_number 119
_symmetry_space_group_name_Hall 'I -4 -2'
_cell_length_a 4.074
_cell_length_b 4.074
_cell_length_c 8.348
_cell_angle_alpha 90.00
_cell_angle_beta 90.00
_cell_angle_gamma 90.00
loop_
_atom_site_label
_atom_site_type_symbol
_atom_site_fract_x
_atom_site_fract_y
_atom_site_fract_z
_atom_site_occupancy
Cd1 Cd 0.000 0.000 0.000 1
Cd2 Cd 0.000 0.500 0.250 1
In1 In 0.000 0.500 0.750 1
Co1 Co 0.000 0.000 0.500 1
# Calculated formation energy ... 0.296 eV/atom
# VASP energy ... -27.58 eV/atom



# CdIn2Co | Alexandria | SCAN | PBEsol geometry
data_CdIn2Co
_symmetry_space_group_name_H-M 'I m m 2'
_symmetry_Int_Tables_number 44
_cell_length_a 2.860
_cell_length_b 4.310
_cell_length_c 12.668
_cell_angle_alpha 90.00
_cell_angle_beta 90.00
_cell_angle_gamma 90.00
loop_
_symmetry_equiv_pos_as_xyz
'x,y,z'
'-x,-y,z'
'-x,y,z'
'x,-y,z'
'x+1/2,y+1/2,z+1/2'
'-x+1/2,-y+1/2,z+1/2'
'-x+1/2,y+1/2,z+1/2'
'x+1/2,-y+1/2,z+1/2'
loop_
_atom_site_label
_atom_site_type_symbol
_atom_site_fract_x
_atom_site_fract_y
_atom_site_fract_z
_atom_site_occupancy
Cd1 Cd 0.000 0.000 0.000 1
In1 In 0.000 0.000 0.361 1
In2 In 0.000 0.500 0.175 1
Co1 Co 0.000 0.500 0.684 1
# Calculated formation energy ... 0.116 eV/atom
# VASP energy ... -28.51 eV/atom



# CdIn2Co | Alexandria | SCAN | PBEsol geometry
data_CdIn2Co
_symmetry_space_group_name_H-M 'C m m m'
_symmetry_Int_Tables_number 65
_symmetry_space_group_name_Hall '-C 2 2'
_cell_length_a 5.828
_cell_length_b 7.722
_cell_length_c 3.266
_cell_angle_alpha 90.00
_cell_angle_beta 90.00
_cell_angle_gamma 90.00
loop_
_atom_site_label
_atom_site_type_symbol
_atom_site_fract_x
_atom_site_fract_y
_atom_site_fract_z
_atom_site_occupancy
Cd1 Cd 0.000 0.000 0.000 1
In1 In 0.250 0.250 0.500 1
Co1 Co 0.000 0.500 0.000 1
# Calculated formation energy ... 0.312 eV/atom
# VASP energy ... -28.31 eV/atom



# CdCoIr2 | Alexandria | SCAN | PBEsol geometry
data_CdCoIr2
_symmetry_space_group_name_H-M 'R -3 m'
_symmetry_Int_Tables_number 166
_symmetry_space_group_name_Hall '-R 3 2"'
_cell_length_a 2.7364
_cell_length_b 2.7364
_cell_length_c 26.4463
_cell_angle_alpha 90.00
_cell_angle_beta 90.00
_cell_angle_gamma 120.00
loop_
_atom_site_label
_atom_site_type_symbol
_atom_site_fract_x
_atom_site_fract_y
_atom_site_fract_z
_atom_site_occupancy
Cd1 Cd 0.0000 0.0000 0.0000 1
Co1 Co 0.0000 0.0000 0.5000 1
Ir1 Ir 0.0000 0.0000 0.2417 1
# Calculated formation energy ... 0.139 eV/atom
# VASP energy ... -47.34 eV/atom



# Cd2CoIr | Alexandria | SCAN | PBEsol geometry
data_Cd2CoIr
_symmetry_space_group_name_H-M 'I -4 m 2'
_symmetry_Int_Tables_number 119
_symmetry_space_group_name_Hall 'I -4 -2'
_cell_length_a 4.044
_cell_length_b 4.044
_cell_length_c 7.592
_cell_angle_alpha 90.00
_cell_angle_beta 90.00
_cell_angle_gamma 90.00
loop_
_atom_site_label
_atom_site_type_symbol
_atom_site_fract_x
_atom_site_fract_y
_atom_site_fract_z
_atom_site_occupancy
Cd1 Cd 0.000 0.000 0.000 1
Cd2 Cd 0.000 0.500 0.250 1
Co1 Co 0.000 0.000 0.500 1
Ir1 Ir 0.000 0.500 0.750 1
# Distance to the lowest polymorph of the same formula ... 71.7 meV/atom
# Calculated formation energy ... 0.307 eV/atom
# VASP energy ... -37.00 eV/atom



# CdCoIr2 | Alexandria | SCAN | PBEsol geometry
data_CdCoIr2
_symmetry_space_group_name_H-M 'C 1 2/m 1'
_symmetry_Int_Tables_number 12
_cell_length_a 9.126
_cell_length_b 2.729
_cell_length_c 4.703
_cell_angle_alpha 90.00
_cell_angle_beta 102.64
_cell_angle_gamma 90.00
loop_
_symmetry_equiv_pos_as_xyz
'x,y,z'
'-x,-y,-z'
'-x,y,-z'
'x,-y,z'
'x+1/2,y+1/2,z'
'-x+1/2,-y+1/2,-z'
'-x+1/2,y+1/2,-z'
'x+1/2,-y+1/2,z'
loop_
_atom_site_label
_atom_site_type_symbol
_atom_site_fract_x
_atom_site_fract_y
_atom_site_fract_z
_atom_site_occupancy
Cd1 Cd 0.000 0.000 0.000 1
Co1 Co 0.000 0.500 0.500 1
Ir1 Ir 0.235 0.000 0.730 1
# Calculated formation energy ... 0.164 eV/atom
# VASP energy ... -47.32 eV/atom



# Cd2CoIr | Alexandria | SCAN | PBEsol geometry
data_Cd2CoIr
_symmetry_space_group_name_H-M 'R 3 m'
_symmetry_Int_Tables_number 160
_symmetry_space_group_name_Hall 'R 3 -2"'
_cell_length_a 2.8074
_cell_length_b 2.8074
_cell_length_c 27.7184
_cell_angle_alpha 90.00
_cell_angle_beta 90.00
_cell_angle_gamma 120.00
loop_
_atom_site_label
_atom_site_type_symbol
_atom_site_fract_x
_atom_site_fract_y
_atom_site_fract_z
_atom_site_occupancy
Cd1 Cd 0.0000 0.0000 0.0000 1
Cd2 Cd 0.0000 0.0000 0.2351 1
Co1 Co 0.0000 0.0000 0.7466 1
Ir1 Ir 0.0000 0.0000 0.4823 1
# Distance to the lowest polymorph of the same formula ... 0.0 meV/atom
# Calculated formation energy ... 0.235 eV/atom
# VASP energy ... -37.07 eV/atom



# CdCoIr3 | Alexandria | SCAN | PBEsol geometry
data_CdCoIr3
_symmetry_space_group_name_H-M 'P m -3 m'
_symmetry_Int_Tables_number 221
_symmetry_space_group_name_Hall '-P 4 2 3'
_cell_length_a 4.744
_cell_length_b 4.744
_cell_length_c 4.744
_cell_angle_alpha 90.00
_cell_angle_beta 90.00
_cell_angle_gamma 90.00
loop_
_atom_site_label
_atom_site_type_symbol
_atom_site_fract_x
_atom_site_fract_y
_atom_site_fract_z
_atom_site_occupancy
Cd1 Cd 0.000 0.000 0.000 1
Co1 Co 0.500 0.500 0.500 1
Ir1 Ir 0.000 0.000 0.500 1
# Calculated formation energy ... 2.828 eV/atom
# VASP energy ... -49.38 eV/atom



# CdCoIr2 | Alexandria | SCAN | PBEsol geometry
data_CdCoIr2
_symmetry_space_group_name_H-M 'P 4/m m m'
_symmetry_Int_Tables_number 123
_symmetry_space_group_name_Hall '-P 4 2'
_cell_length_a 4.425
_cell_length_b 4.425
_cell_length_c 2.955
_cell_angle_alpha 90.00
_cell_angle_beta 90.00
_cell_angle_gamma 90.00
loop_
_atom_site_label
_atom_site_type_symbol
_atom_site_fract_x
_atom_site_fract_y
_atom_site_fract_z
_atom_site_occupancy
Cd1 Cd 0.000 0.000 0.000 1
Co1 Co 0.500 0.500 0.000 1
Ir1 Ir 0.000 0.500 0.500 1
# Calculated formation energy ... 0.387 eV/atom
# VASP energy ... -47.09 eV/atom



# KCd3Co | Alexandria | SCAN | PBEsol geometry
data_KCd3Co
_symmetry_space_group_name_H-M 'P m -3 m'
_symmetry_Int_Tables_number 221
_symmetry_space_group_name_Hall '-P 4 2 3'
_cell_length_a 4.990
_cell_length_b 4.990
_cell_length_c 4.990
_cell_angle_alpha 90.00
_cell_angle_beta 90.00
_cell_angle_gamma 90.00
loop_
_atom_site_label
_atom_site_type_symbol
_atom_site_fract_x
_atom_site_fract_y
_atom_site_fract_z
_atom_site_occupancy
K1 K 0.000 0.000 0.000 1
Cd1 Cd 0.000 0.500 0.500 1
Co1 Co 0.500 0.500 0.500 1
# Calculated formation energy ... 0.213 eV/atom
# VASP energy ... -23.16 eV/atom